(1)
# Na2SnAs, relaxed, DFT PBE
# * ρ: 3.709 g/cm3
# * crystal system: monoclinic
# * M_tot: 0.00 μB per cell
data_Na2SnAs
_chemical_formula_sum 'Na8 Sn4 As4'
_cell_length_a 6.2204
_cell_length_b 7.3196
_cell_length_c 9.6103
_cell_angle_alpha 78.68
_cell_angle_beta 90.00
_cell_angle_gamma 90.00
_symmetry_space_group_name_H-M 'P 1'
_symmetry_Int_Tables_number 1
_symmetry_space_group_name_Hall 'P 1'
loop_
_atom_site_label
_atom_site_type_symbol
_atom_site_fract_x
_atom_site_fract_y
_atom_site_fract_z
Na1 Na 0.5896 0.8444 0.8390
Na2 Na 0.4104 0.1556 0.1610
Na3 Na 0.0896 0.6556 0.6610
Na4 Na 0.9104 0.3444 0.3390
Na5 Na 0.8020 0.3655 0.9497
Na6 Na 0.1980 0.6345 0.0503
Na7 Na 0.3020 0.1345 0.5503
Na8 Na 0.6980 0.8655 0.4497
Sn1 Sn 0.3958 0.5330 0.3517
Sn2 Sn 0.6042 0.4670 0.6483
Sn3 Sn 0.8958 0.9670 0.1483
Sn4 Sn 0.1042 0.0330 0.8517
As1 As 0.8066 0.1419 0.6342
As2 As 0.1934 0.8581 0.3658
As3 As 0.3066 0.3581 0.8658
As4 As 0.6934 0.6419 0.1342

***

(2)
# Na2SnAs, relaxed, DFT PBE
# * ρ: 4.120 g/cm3
# * crystal system: cubic
# * M_tot: 0.00 μB per cell
data_Na2SnAs
_chemical_formula_sum 'Na2 Sn1 As1'
_cell_length_a 5.1496
_cell_length_b 5.1496
_cell_length_c 5.1496
_cell_angle_alpha 60.00
_cell_angle_beta 60.00
_cell_angle_gamma 60.00
_symmetry_space_group_name_H-M 'P 1'
_symmetry_Int_Tables_number 1
_symmetry_space_group_name_Hall 'P 1'
loop_
_atom_site_label
_atom_site_type_symbol
_atom_site_fract_x
_atom_site_fract_y
_atom_site_fract_z
Na1 Na 0.2500 0.2500 0.2500
Na2 Na 0.7500 0.7500 0.7500
As1 As 0.0000 0.0000 0.0000
Sn1 Sn 0.5000 0.5000 0.5000

***

(3)
# Na2SnAs, relaxed, DFT PBE
# * ρ: 4.235 g/cm3
# * crystal system: tetragonal
# * M_tot: 0.00 μB per cell
data_Na2SnAs
_chemical_formula_sum 'Na2 Sn1 As1'
_cell_length_a 4.6836
_cell_length_b 4.4789
_cell_length_c 4.4789
_cell_angle_alpha 90.00
_cell_angle_beta 90.00
_cell_angle_gamma 90.00
_symmetry_space_group_name_H-M 'P 1'
_symmetry_Int_Tables_number 1
_symmetry_space_group_name_Hall 'P 1'
loop_
_atom_site_label
_atom_site_type_symbol
_atom_site_fract_x
_atom_site_fract_y
_atom_site_fract_z
Na1 Na 0.0000 0.0000 0.5000
Na2 Na 0.0000 0.5000 0.0000
As1 As 0.5000 0.0000 0.0000
Sn1 Sn 0.5000 0.5000 0.5000

***

(4)
# Na2SnAs, relaxed, DFT PBE
# * ρ: 3.889 g/cm3
# * crystal system: tetragonal
# * M_tot: 0.00 μB per cell
data_Na2SnAs
_chemical_formula_sum 'Na4 Sn2 As2'
_cell_length_a 4.3978
_cell_length_b 4.3978
_cell_length_c 11.0265
_cell_angle_alpha 78.50
_cell_angle_beta 78.50
_cell_angle_gamma 90.00
_symmetry_space_group_name_H-M 'P 1'
_symmetry_Int_Tables_number 1
_symmetry_space_group_name_Hall 'P 1'
loop_
_atom_site_label
_atom_site_type_symbol
_atom_site_fract_x
_atom_site_fract_y
_atom_site_fract_z
Na1 Na 0.6081 0.1250 0.2500
Na2 Na 0.1419 0.6250 0.2500
Na3 Na 0.3750 0.3919 0.7500
Na4 Na 0.8750 0.8581 0.7500
As1 As 0.5000 0.5000 0.0000
As2 As 0.2500 0.7500 0.5000
Sn1 Sn 0.0000 0.0000 0.0000
Sn2 Sn 0.7500 0.2500 0.5000

***

Quick one: most stable of them? (1)

***

(1)
# NaSrAs2, relaxed, DFT PBE
# * ρ: 3.672 g/cm3
# * crystal system: tetragonal
# * M_tot: 0.00 μB per cell
data_NaSrAs2
_chemical_formula_sum 'Na2 Sr2 As4'
_cell_length_a 5.0211
_cell_length_b 5.0211
_cell_length_c 9.9947
_cell_angle_alpha 75.45
_cell_angle_beta 75.45
_cell_angle_gamma 90.00
_symmetry_space_group_name_H-M 'P 1'
_symmetry_Int_Tables_number 1
_symmetry_space_group_name_Hall 'P 1'
loop_
_atom_site_label
_atom_site_type_symbol
_atom_site_fract_x
_atom_site_fract_y
_atom_site_fract_z
Sr1 Sr 0.0000 0.0000 0.0000
Sr2 Sr 0.7500 0.2500 0.5000
As1 As 0.4990 0.1250 0.2500
As2 As 0.2510 0.6250 0.2500
As3 As 0.3750 0.5010 0.7500
As4 As 0.8750 0.7490 0.7500
Na1 Na 0.5000 0.5000 0.0000
Na2 Na 0.2500 0.7500 0.5000

***

(2)
# NaSrAs2, relaxed, DFT PBE
# * ρ: 4.447 g/cm3
# * crystal system: tetragonal
# * M_tot: 0.00 μB per cell
data_NaSrAs2
_chemical_formula_sum 'Na1 Sr1 As2'
_cell_length_a 4.3986
_cell_length_b 4.7023
_cell_length_c 4.7023
_cell_angle_alpha 90.00
_cell_angle_beta 90.00
_cell_angle_gamma 90.00
_symmetry_space_group_name_H-M 'P 1'
_symmetry_Int_Tables_number 1
_symmetry_space_group_name_Hall 'P 1'
loop_
_atom_site_label
_atom_site_type_symbol
_atom_site_fract_x
_atom_site_fract_y
_atom_site_fract_z
Sr1 Sr 0.5000 0.0000 0.0000
As1 As 0.0000 0.0000 0.5000
As2 As 0.0000 0.5000 0.0000
Na1 Na 0.5000 0.5000 0.5000

***

(3)
# NaSrAs2, relaxed, DFT PBE
# * ρ: 4.262 g/cm3
# * crystal system: cubic
# * M_tot: 0.00 μB per cell
data_NaSrAs2
_chemical_formula_sum 'Na1 Sr1 As2'
_cell_length_a 5.2357
_cell_length_b 5.2357
_cell_length_c 5.2357
_cell_angle_alpha 60.00
_cell_angle_beta 60.00
_cell_angle_gamma 60.00
_symmetry_space_group_name_H-M 'P 1'
_symmetry_Int_Tables_number 1
_symmetry_space_group_name_Hall 'P 1'
loop_
_atom_site_label
_atom_site_type_symbol
_atom_site_fract_x
_atom_site_fract_y
_atom_site_fract_z
Sr1 Sr 0.5000 0.5000 0.5000
As1 As 0.2500 0.2500 0.2500
As2 As 0.7500 0.7500 0.7500
Na1 Na 0.0000 0.0000 0.0000

***

Quick one: most stable of them? (2)

***

(1)
# NaTcAs3, relaxed, DFT PBE
# * ρ: 4.884 g/cm3
# * crystal system: cubic
# * M_tot: 0.00 μB per cell
data_NaTcAs3
_chemical_formula_sum 'Na1 Tc1 As3'
_cell_length_a 4.8988
_cell_length_b 4.8988
_cell_length_c 4.8988
_cell_angle_alpha 90.00
_cell_angle_beta 90.00
_cell_angle_gamma 90.00
_symmetry_space_group_name_H-M 'P 1'
_symmetry_Int_Tables_number 1
_symmetry_space_group_name_Hall 'P 1'
loop_
_atom_site_label
_atom_site_type_symbol
_atom_site_fract_x
_atom_site_fract_y
_atom_site_fract_z
Na1 Na 0.5000 0.5000 0.5000
As1 As 0.0000 0.5000 0.0000
As2 As 0.0000 0.0000 0.5000
As3 As 0.5000 0.0000 0.0000
Tc1 Tc 0.0000 0.0000 0.0000

***

(2)
# NaTcAs3, relaxed, DFT PBE
# * ρ: 4.845 g/cm3
# * crystal system: cubic
# * M_tot: 3.61 μB per cell
data_NaTcAs3
_chemical_formula_sum 'Na1 Tc1 As3'
_cell_length_a 4.9119
_cell_length_b 4.9119
_cell_length_c 4.9119
_cell_angle_alpha 90.00
_cell_angle_beta 90.00
_cell_angle_gamma 90.00
_symmetry_space_group_name_H-M 'P 1'
_symmetry_Int_Tables_number 1
_symmetry_space_group_name_Hall 'P 1'
loop_
_atom_site_label
_atom_site_type_symbol
_atom_site_fract_x
_atom_site_fract_y
_atom_site_fract_z
Na1 Na 0.0000 0.0000 0.0000
As1 As 0.0000 0.5000 0.0000
As2 As 0.0000 0.0000 0.5000
As3 As 0.5000 0.0000 0.0000
Tc1 Tc 0.5000 0.5000 0.5000

***

Quick one: most stable of them? (1)

***

(1)
# NaTc2As2, relaxed, DFT PBE
# * ρ: 6.400 g/cm3
# * crystal system: tetragonal
# * M_tot: 0.00 μB per cell
data_NaTc2As2
_chemical_formula_sum 'Na1 Tc2 As2'
_cell_length_a 4.6527
_cell_length_b 4.6527
_cell_length_c 5.5105
_cell_angle_alpha 65.03
_cell_angle_beta 65.03
_cell_angle_gamma 90.00
_symmetry_space_group_name_H-M 'P 1'
_symmetry_Int_Tables_number 1
_symmetry_space_group_name_Hall 'P 1'
loop_
_atom_site_label
_atom_site_type_symbol
_atom_site_fract_x
_atom_site_fract_y
_atom_site_fract_z
Na1 Na 0.0000 0.0000 0.0000
As1 As 0.7500 0.2500 0.5000
As2 As 0.2500 0.7500 0.5000
Tc1 Tc 0.3743 0.3743 0.2514
Tc2 Tc 0.6257 0.6257 0.7486

***

(2)
# NaTc2As2, relaxed, DFT PBE
# * ρ: 6.628 g/cm3
# * crystal system: tetragonal
# * M_tot: 0.00 μB per cell
data_NaTc2As2
_chemical_formula_sum 'Na1 Tc2 As2'
_cell_length_a 4.1809
_cell_length_b 4.1809
_cell_length_c 6.0571
_cell_angle_alpha 69.81
_cell_angle_beta 69.81
_cell_angle_gamma 90.00
_symmetry_space_group_name_H-M 'P 1'
_symmetry_Int_Tables_number 1
_symmetry_space_group_name_Hall 'P 1'
loop_
_atom_site_label
_atom_site_type_symbol
_atom_site_fract_x
_atom_site_fract_y
_atom_site_fract_z
Na1 Na 0.0000 0.0000 0.0000
As1 As 0.3738 0.3738 0.2524
As2 As 0.6262 0.6262 0.7476
Tc1 Tc 0.7500 0.2500 0.5000
Tc2 Tc 0.2500 0.7500 0.5000

***

Quick one: most stable of them? (2)

***

(1)
# Na2Te2As, relaxed, DFT PBE
# * ρ: 4.041 g/cm3
# * crystal system: orthorhombic
# * M_tot: 0.00 μB per cell
data_Na2Te2As
_chemical_formula_sum 'Na16 Te16 As8'
_cell_length_a 8.9164
_cell_length_b 9.8988
_cell_length_c 14.0072
_cell_angle_alpha 90.00
_cell_angle_beta 90.00
_cell_angle_gamma 90.00
_symmetry_space_group_name_H-M 'P 1'
_symmetry_Int_Tables_number 1
_symmetry_space_group_name_Hall 'P 1'
loop_
_atom_site_label
_atom_site_type_symbol
_atom_site_fract_x
_atom_site_fract_y
_atom_site_fract_z
Na1 Na 0.5863 0.3610 0.6316
Na2 Na 0.0863 0.1390 0.3684
Na3 Na 0.4137 0.8610 0.8684
Na4 Na 0.9137 0.6390 0.1316
Na5 Na 0.9254 0.1320 0.6232
Na6 Na 0.4254 0.3680 0.3768
Na7 Na 0.0746 0.6320 0.8768
Na8 Na 0.5746 0.8680 0.1232
Na9 Na 0.7847 0.7681 0.6954
Na10 Na 0.2847 0.7319 0.3046
Na11 Na 0.2153 0.2681 0.8046
Na12 Na 0.7153 0.2319 0.1954
Na13 Na 0.3229 0.9385 0.5425
Na14 Na 0.8229 0.5615 0.4575
Na15 Na 0.6771 0.4385 0.9575
Na16 Na 0.1771 0.0615 0.0425
Te1 Te 0.7359 0.7548 0.9286
Te2 Te 0.2359 0.7452 0.0714
Te3 Te 0.2641 0.2548 0.5714
Te4 Te 0.7641 0.2452 0.4286
Te5 Te 0.6022 0.0447 0.7109
Te6 Te 0.1022 0.4553 0.2891
Te7 Te 0.3978 0.5447 0.7891
Te8 Te 0.8978 0.9553 0.2109
Te9 Te 0.5154 0.1543 0.0026
Te10 Te 0.0154 0.3457 0.9974
Te11 Te 0.4846 0.6543 0.4974
Te12 Te 0.9846 0.8457 0.5026
Te13 Te 0.0825 0.9612 0.7983
Te14 Te 0.5825 0.5388 0.2017
Te15 Te 0.9175 0.4612 0.7017
Te16 Te 0.4175 0.0388 0.2983
As1 As 0.8895 0.9795 0.9411
As2 As 0.3895 0.5205 0.0589
As3 As 0.1105 0.4795 0.5589
As4 As 0.6105 0.0205 0.4411
As5 As 0.7185 0.1526 0.8647
As6 As 0.2185 0.3474 0.1353
As7 As 0.2815 0.6526 0.6353
As8 As 0.7815 0.8474 0.3647

***

(2)
# Na2Te2As, relaxed, DFT PBE
# * ρ: 3.548 g/cm3
# * crystal system: orthorhombic
# * M_tot: 0.00 μB per cell
data_Na2Te2As
_chemical_formula_sum 'Na4 Te4 As2'
_cell_length_a 8.4640
_cell_length_b 6.4385
_cell_length_c 8.3666
_cell_angle_alpha 112.63
_cell_angle_beta 120.39
_cell_angle_gamma 90.00
_symmetry_space_group_name_H-M 'P 1'
_symmetry_Int_Tables_number 1
_symmetry_space_group_name_Hall 'P 1'
loop_
_atom_site_label
_atom_site_type_symbol
_atom_site_fract_x
_atom_site_fract_y
_atom_site_fract_z
Na1 Na 0.8653 0.6751 0.7305
Na2 Na 0.1347 0.3249 0.2695
Na3 Na 0.6347 0.9446 0.2695
Na4 Na 0.3653 0.0554 0.7305
Te1 Te 0.3830 0.5794 0.7660
Te2 Te 0.6170 0.4206 0.2340
Te3 Te 0.1170 0.8134 0.2340
Te4 Te 0.8830 0.1866 0.7660
As1 As 0.7500 0.5000 0.0000
As2 As 0.2500 0.5000 0.0000

***

Quick one: most stable of them? (1)

***

(1)
# Na3Te4As2, relaxed, DFT PBE
# * ρ: 3.661 g/cm3
# * crystal system: monoclinic
# * M_tot: 0.00 μB per cell
data_Na3Te4As2
_chemical_formula_sum 'Na6 Te8 As4'
_cell_length_a 9.7468
_cell_length_b 8.7807
_cell_length_c 8.8920
_cell_angle_alpha 119.59
_cell_angle_beta 88.78
_cell_angle_gamma 90.00
_symmetry_space_group_name_H-M 'P 1'
_symmetry_Int_Tables_number 1
_symmetry_space_group_name_Hall 'P 1'
loop_
_atom_site_label
_atom_site_type_symbol
_atom_site_fract_x
_atom_site_fract_y
_atom_site_fract_z
Na1 Na 0.1827 0.7385 0.7450
Na2 Na 0.3173 0.9935 0.2550
Na3 Na 0.8173 0.2615 0.2550
Na4 Na 0.6827 0.0065 0.7450
Na5 Na 0.7500 0.6248 0.0000
Na6 Na 0.2500 0.3752 0.0000
Te1 Te 0.5002 0.7828 0.8891
Te2 Te 0.9998 0.8937 0.1109
Te3 Te 0.4998 0.2172 0.1109
Te4 Te 0.0002 0.1063 0.8891
Te5 Te 0.7560 0.6733 0.3787
Te6 Te 0.7440 0.2946 0.6213
Te7 Te 0.2440 0.3267 0.6213
Te8 Te 0.2560 0.7054 0.3787
As1 As 0.5034 0.5335 0.3779
As2 As 0.9966 0.1556 0.6221
As3 As 0.4966 0.4665 0.6221
As4 As 0.0034 0.8444 0.3779

***

(2)
# Na3Te4As2, relaxed, DFT PBE
# * ρ: 3.997 g/cm3
# * crystal system: monoclinic
# * M_tot: 0.00 μB per cell
data_Na3Te4As2
_chemical_formula_sum 'Na6 Te8 As4'
_cell_length_a 6.4376
_cell_length_b 9.7173
_cell_length_c 9.7173
_cell_angle_alpha 85.91
_cell_angle_beta 91.64
_cell_angle_gamma 91.64
_symmetry_space_group_name_H-M 'P 1'
_symmetry_Int_Tables_number 1
_symmetry_space_group_name_Hall 'P 1'
loop_
_atom_site_label
_atom_site_type_symbol
_atom_site_fract_x
_atom_site_fract_y
_atom_site_fract_z
Na1 Na 0.8927 0.0052 0.2443
Na2 Na 0.6073 0.7557 0.9948
Na3 Na 0.1073 0.9948 0.7557
Na4 Na 0.3927 0.2443 0.0052
Na5 Na 0.2500 0.6715 0.3285
Na6 Na 0.7500 0.3285 0.6715
Te1 Te 0.3931 0.9879 0.2439
Te2 Te 0.1069 0.7561 0.0121
Te3 Te 0.6069 0.0121 0.7561
Te4 Te 0.8931 0.2439 0.9879
Te5 Te 0.0229 0.2415 0.4357
Te6 Te 0.4771 0.5643 0.7585
Te7 Te 0.9771 0.7585 0.5643
Te8 Te 0.5229 0.4357 0.2415
As1 As 0.4081 0.1827 0.4233
As2 As 0.0919 0.5767 0.8173
As3 As 0.5919 0.8173 0.5767
As4 As 0.9081 0.4233 0.1827

***

Quick one: most stable of them? (1)